# PBE-GGA CsTiI6, relaxed
# VASP energy   -24.27 eV per formula unit
# ΔE_f (raw)   -6.22 eV per formula unit
# N(E_F)   0.675 states/eV per atom
# Energy relative to the lowest polymorph listed for this composition   0 meV/atom
data_CsTiI6
_chemical_formula_sum 'Cs1 Ti1 I6'
_symmetry_space_group_name_H-M 'P -1'
_symmetry_Int_Tables_number 2
_cell_length_a 6.864
_cell_length_b 7.195
_cell_length_c 8.162
_cell_angle_alpha 98.43
_cell_angle_beta 111.04
_cell_angle_gamma 101.04
loop_
_symmetry_equiv_pos_as_xyz
'x,y,z'
'-x,-y,-z'
loop_
_atom_site_label
_atom_site_fract_x
_atom_site_fract_y
_atom_site_fract_z
Cs1 0.000 0.000 0.000
Ti1 0.000 0.500 0.500
I1 0.201 0.197 0.552
I2 0.208 0.598 0.280
I3 0.345 0.739 0.797

# PBE-GGA V3MoCl, relaxed
# VASP energy   -33.01 eV per formula unit
# ΔE_f (raw)   7.02 eV per formula unit
# N(E_F)   2.086 states/eV per atom
# Energy relative to the lowest polymorph listed for this composition   750 meV/atom
data_V3MoCl
_chemical_formula_sum 'V3 Mo1 Cl1'
_symmetry_space_group_name_H-M 'P m -3 m'
_symmetry_Int_Tables_number 221
_symmetry_space_group_name_Hall '-P 4 2 3'
_cell_length_a 4.790
_cell_length_b 4.790
_cell_length_c 4.790
_cell_angle_alpha 90.00
_cell_angle_beta 90.00
_cell_angle_gamma 90.00
loop_
_atom_site_label
_atom_site_fract_x
_atom_site_fract_y
_atom_site_fract_z
V1 0.000 0.000 0.500
Mo1 0.000 0.000 0.000
Cl1 0.500 0.500 0.500

# PBE-GGA PaI3N, relaxed
# VASP energy   -20.69 eV per formula unit
# ΔE_f (raw)   1.78 eV per formula unit
# N(E_F)   1.011 states/eV per atom
data_PaI3N
_chemical_formula_sum 'Pa2 I6 N2'
_symmetry_space_group_name_H-M 'P 1'
_symmetry_Int_Tables_number 1
_cell_length_a 6.499
_cell_length_b 6.499
_cell_length_c 9.864
_cell_angle_alpha 86.63
_cell_angle_beta 85.65
_cell_angle_gamma 65.77
loop_
_symmetry_equiv_pos_as_xyz
'x,y,z'
loop_
_atom_site_label
_atom_site_fract_x
_atom_site_fract_y
_atom_site_fract_z
Pa1 0.000 0.000 0.000
Pa2 0.500 0.500 0.000
I1 0.010 0.505 0.893
I2 0.151 0.662 0.247
I3 0.349 0.838 0.753
I4 0.490 0.994 0.107
I5 0.697 0.186 0.753
I6 0.803 0.314 0.247
N1 0.546 0.034 0.457
N2 0.962 0.458 0.543

# PBE-GGA LaSc2GaPb, relaxed
# VASP energy   -25.20 eV per formula unit
# Formation energy from the elements   -16.92 kJ per mole of atoms
# N(E_F)   0.285 states/eV per atom
data_LaSc2GaPb
_chemical_formula_sum 'La1 Sc2 Ga1 Pb1'
_symmetry_space_group_name_H-M 'P 4/m m m'
_symmetry_Int_Tables_number 123
_symmetry_space_group_name_Hall '-P 4 2'
_cell_length_a 5.155
_cell_length_b 5.155
_cell_length_c 5.648
_cell_angle_alpha 90.00
_cell_angle_beta 90.00
_cell_angle_gamma 90.00
loop_
_atom_site_label
_atom_site_fract_x
_atom_site_fract_y
_atom_site_fract_z
La1 0.000 0.000 0.000
Sc1 0.000 0.500 0.500
Ga1 0.000 0.000 0.500
Pb1 0.500 0.500 0.000

# PBE-GGA Hf2Si2As, relaxed
# VASP energy   -37.97 eV per formula unit
# ΔE_f (raw)   -2.57 eV per formula unit
# N(E_F)   0.574 states/eV per atom
data_Hf2Si2As
_chemical_formula_sum 'Hf4 Si4 As2'
_symmetry_space_group_name_H-M 'P 4/m b m'
_symmetry_Int_Tables_number 127
_symmetry_space_group_name_Hall '-P 4 2ab'
_cell_length_a 7.086
_cell_length_b 7.086
_cell_length_c 3.751
_cell_angle_alpha 90.00
_cell_angle_beta 90.00
_cell_angle_gamma 90.00
loop_
_atom_site_label
_atom_site_fract_x
_atom_site_fract_y
_atom_site_fract_z
Hf1 0.177 0.323 0.000
Si1 0.118 0.618 0.500
As1 0.000 0.000 0.000

# PBE-GGA TiAlTc, relaxed
# VASP energy   -22.82 eV per formula unit
# Formation energy from the elements   -26.11 kJ per mole of atoms
# N(E_F)   0.539 states/eV per atom
# Energy relative to the lowest polymorph listed for this composition   183 meV/atom
data_TiAlTc
_chemical_formula_sum 'Ti4 Al4 Tc4'
_symmetry_space_group_name_H-M 'P 1 21/c 1'
_symmetry_Int_Tables_number 14
_cell_length_a 6.656
_cell_length_b 5.315
_cell_length_c 5.348
_cell_angle_alpha 90.00
_cell_angle_beta 102.54
_cell_angle_gamma 90.00
loop_
_symmetry_equiv_pos_as_xyz
'x,y,z'
'-x,-y,-z'
'-x,y+1/2,-z+1/2'
'x,-y+1/2,z+1/2'
loop_
_atom_site_label
_atom_site_fract_x
_atom_site_fract_y
_atom_site_fract_z
Ti1 0.033 0.249 0.000
Al1 0.322 0.589 0.847
Tc1 0.338 0.088 0.837

# PBE-GGA ReHgSb2I, relaxed
# VASP energy   -19.81 eV per formula unit
# ΔE_f (raw)   2.73 eV per formula unit
# N(E_F)   0.771 states/eV per atom
# Energy relative to the lowest polymorph listed for this composition   0 meV/atom
data_ReHgSb2I
_chemical_formula_sum 'Re1 Hg1 Sb2 I1'
_symmetry_space_group_name_H-M 'P 4/m m m'
_symmetry_Int_Tables_number 123
_symmetry_space_group_name_Hall '-P 4 2'
_cell_length_a 5.116
_cell_length_b 5.116
_cell_length_c 6.013
_cell_angle_alpha 90.00
_cell_angle_beta 90.00
_cell_angle_gamma 90.00
loop_
_atom_site_label
_atom_site_fract_x
_atom_site_fract_y
_atom_site_fract_z
Re1 0.000 0.000 0.000
Hg1 0.500 0.500 0.500
Sb1 0.000 0.500 0.000
I1 0.000 0.000 0.500

# PBE-GGA LiTlH2, relaxed
# VASP energy   -9.87 eV per formula unit
# N(E_F)   0.180 states/eV per atom
# Energy relative to the lowest polymorph listed for this composition   205 meV/atom
data_LiTlH2
_chemical_formula_sum 'Li4 Tl4 H8'
_symmetry_space_group_name_H-M 'F m -3 m'
_symmetry_Int_Tables_number 225
_symmetry_space_group_name_Hall '-F 4 2 3'
_cell_length_a 6.027
_cell_length_b 6.027
_cell_length_c 6.027
_cell_angle_alpha 90.00
_cell_angle_beta 90.00
_cell_angle_gamma 90.00
loop_
_atom_site_label
_atom_site_fract_x
_atom_site_fract_y
_atom_site_fract_z
Li1 0.000 0.000 0.000
Tl1 0.000 0.000 0.500
H1 0.250 0.250 0.250

# PBE-GGA Sm2Tl4Se5, relaxed
# VASP energy   -46.29 eV per formula unit
# ΔE_f (raw)   -9.97 eV per formula unit
# N(E_F)   0.244 states/eV per atom
data_Sm2Tl4Se5
_chemical_formula_sum 'Sm6 Tl12 Se15'
_symmetry_space_group_name_H-M 'R -3 m'
_symmetry_Int_Tables_number 166
_symmetry_space_group_name_Hall '-R 3 2"'
_cell_length_a 4.2735
_cell_length_b 4.2735
_cell_length_c 71.7544
_cell_angle_alpha 90.00
_cell_angle_beta 90.00
_cell_angle_gamma 120.00
loop_
_atom_site_label
_atom_site_fract_x
_atom_site_fract_y
_atom_site_fract_z
Sm1 0.0000 0.0000 0.1412
Tl1 0.0000 0.0000 0.3133
Tl2 0.0000 0.0000 0.4134
Se1 0.0000 0.0000 0.2125
Se2 0.0000 0.0000 0.3752
Se3 0.0000 0.0000 0.5000

# PBE-GGA ScAgAu4, relaxed
# VASP energy   -23.79 eV per formula unit
# Formation energy from the elements   -24.04 kJ per mole of atoms
# N(E_F)   0.883 states/eV per atom
# Energy relative to the lowest polymorph listed for this composition   138 meV/atom
data_ScAgAu4
_chemical_formula_sum 'Sc4 Ag4 Au16'
_symmetry_space_group_name_H-M 'F -4 3 m'
_symmetry_Int_Tables_number 216
_symmetry_space_group_name_Hall 'F -4 2 3'
_cell_length_a 7.752
_cell_length_b 7.752
_cell_length_c 7.752
_cell_angle_alpha 90.00
_cell_angle_beta 90.00
_cell_angle_gamma 90.00
loop_
_atom_site_label
_atom_site_fract_x
_atom_site_fract_y
_atom_site_fract_z
Sc1 0.000 0.000 0.000
Ag1 0.250 0.250 0.750
Au1 0.125 0.125 0.375

# PBE-GGA TlBr2O6, relaxed
# VASP energy   -35.05 eV per formula unit
# ΔE_f (raw)   0.41 eV per formula unit
# N(E_F)   0.182 states/eV per atom
# Energy relative to the lowest polymorph listed for this composition   12 meV/atom
data_TlBr2O6
_chemical_formula_sum 'Tl4 Br8 O24'
_symmetry_space_group_name_H-M 'C 1 2/c 1'
_symmetry_Int_Tables_number 15
_cell_length_a 12.281
_cell_length_b 8.258
_cell_length_c 7.901
_cell_angle_alpha 90.00
_cell_angle_beta 128.34
_cell_angle_gamma 90.00
loop_
_symmetry_equiv_pos_as_xyz
'x,y,z'
'-x,-y,-z'
'-x,y,-z+1/2'
'x,-y,z+1/2'
'x+1/2,y+1/2,z'
'-x+1/2,-y+1/2,-z'
'-x+1/2,y+1/2,-z+1/2'
'x+1/2,-y+1/2,z+1/2'
loop_
_atom_site_label
_atom_site_fract_x
_atom_site_fract_y
_atom_site_fract_z
Tl1 0.000 0.132 0.250
Br1 0.186 0.479 0.190
O1 0.104 0.346 0.647
O2 0.138 0.025 0.124
O3 0.166 0.374 0.353

# PBE-GGA SmDy4S5, relaxed
# VASP energy   -63.70 eV per formula unit
# ΔE_f (raw)   -19.93 eV per formula unit
# N(E_F)   0.446 states/eV per atom
data_SmDy4S5
_chemical_formula_sum 'Sm2 Dy8 S10'
_symmetry_space_group_name_H-M 'I m m m'
_symmetry_Int_Tables_number 71
_symmetry_space_group_name_Hall '-I 2 2'
_cell_length_a 3.926
_cell_length_b 5.547
_cell_length_c 19.650
_cell_angle_alpha 90.00
_cell_angle_beta 90.00
_cell_angle_gamma 90.00
loop_
_atom_site_label
_atom_site_fract_x
_atom_site_fract_y
_atom_site_fract_z
Sm1 0.000 0.000 0.000
Dy1 0.000 0.000 0.201
Dy2 0.000 0.000 0.400
S1 0.000 0.500 0.000
S2 0.000 0.500 0.199
S3 0.000 0.500 0.397